Entry 1:
ScRe2Si, relaxed, DFT PBE; uncorrected formation energy = -23 meV/atom
1.0
4.282 0.014 0.000
-0.027 4.282 0.000
0.000 0.000 3.271
Re Sc Si
2 1 1
direct
0.000 0.000 0.000
0.500 0.500 0.000
0.500 0.000 0.500
0.000 0.500 0.500

---

Entry 2:
ScReSi, relaxed, DFT PBE; uncorrected formation energy = -86 meV/atom
1.0
-0.971 2.558 -1.574
-1.506 -2.749 -0.373
-3.636 1.382 4.489
Re Sc Si
1 1 1
direct
0.000 0.000 0.971
0.333 0.667 0.334
0.667 0.333 0.695

---

Entry 3:
ScRe2Si, relaxed, DFT PBE; uncorrected formation energy = -102 meV/atom
1.0
3.180 0.000 0.000
0.000 3.181 0.000
0.000 0.000 6.134
Re Sc Si
2 1 1
direct
0.000 0.000 0.963
0.000 0.000 0.537
0.500 0.500 0.250
0.500 0.500 0.750

---

Entry 4:
Sc2ReSiTe, relaxed, DFT PBE; uncorrected formation energy = 1355 meV/atom
1.0
-1.668 1.754 4.619
-1.013 -4.892 1.492
4.592 -0.399 1.810
Sc Re Si Te
2 1 1 1
direct
0.000 0.500 0.000
0.500 0.000 0.000
0.500 0.500 0.500
0.000 0.000 0.500
0.000 0.000 0.000

---

Entry 5:
SmSc2Re, relaxed, DFT PBE; formation enthalpy at 0 K = 9 meV per atom
1.0
-3.203 -0.126 -0.736
-0.271 -2.824 1.663
-1.835 4.430 7.226
Sc Re Sm
2 1 1
direct
0.000 0.000 0.821
0.000 0.000 0.179
0.500 0.500 0.000
0.500 0.500 0.500

---

Entry 6:
SmScRe, relaxed, DFT PBE; formation enthalpy at 0 K = 140 meV per atom
1.0
-5.624 3.232 0.071
0.436 -5.836 3.822
2.398 4.043 5.899
Re Sc Sm
4 4 4
direct
0.594 0.189 0.537
0.906 0.811 0.037
0.406 0.811 0.463
0.094 0.189 0.963
0.293 0.085 0.250
0.207 0.915 0.750
0.707 0.915 0.750
0.793 0.085 0.250
0.806 0.613 0.388
0.694 0.387 0.888
0.194 0.387 0.612
0.306 0.613 0.112

---

Entry 7:
ScRe3Sn, relaxed, DFT PBE; offset from the most stable computed form = 0.00 eV per formula unit; formation enthalpy at 0 K = 2188 meV per atom
1.0
-2.896 3.362 1.931
1.304 -1.425 4.437
3.651 3.175 -0.053
Sc Re Sn
1 3 1
direct
0.500 0.500 0.500
0.000 0.500 0.000
0.000 0.000 0.500
0.500 0.000 0.000
0.000 0.000 0.000

---

Entry 8:
Sc2ReSn2, relaxed, DFT PBE; formation enthalpy at 0 K = -224 meV per atom
1.0
7.124 0.000 0.000
0.000 7.124 0.000
0.000 0.000 4.125
Sc Re Sn
4 2 4
direct
0.170 0.670 0.500
0.670 0.830 0.500
0.830 0.330 0.500
0.330 0.170 0.500
0.000 0.000 0.000
0.500 0.500 0.000
0.360 0.860 0.000
0.860 0.640 0.000
0.640 0.140 0.000
0.140 0.360 0.000

---

no.,final energy (eV per atom),V (Å³/atom)
1,-9.1853,15.0
2,-8.1532,17.1
3,-9.2651,15.5
4,-5.3799,26.9
5,-7.4489,23.4
6,-7.6934,25.2
7,-7.3479,22.7
8,-6.8470,20.9